# 1
Density functional theory data (PBE) for a geometry-optimized PF4 structure.

```
data_PF4
_chemical_formula_sum 'P2 F8'
_cell_length_a 5.680
_cell_length_b 5.680
_cell_length_c 5.167
_cell_angle_alpha 90.00
_cell_angle_beta 90.00
_cell_angle_gamma 90.00
_space_group_name_H-M_alt 'P -4 21 c'
_space_group_IT_number 114
_space_group_name_Hall 'P -4 2n'
loop_
_atom_site_label
_atom_site_fract_x
_atom_site_fract_y
_atom_site_fract_z
_atom_site_occupancy
P1 0.000 0.000 0.000 1
F1 0.141 0.188 0.812 1
```

Raw total energy ... -4.57 eV/atom
Excess energy over the best structure of this formula in the dataset ... 0.218 eV/atom
Crystal system ... tetragonal

# 2
Density functional theory data (PBE) for a geometry-optimized Pa2PF structure.

```
data_Pa2PF
_chemical_formula_sum 'Pa6 P3 F3'
_cell_length_a 3.8970
_cell_length_b 3.8970
_cell_length_c 17.4139
_cell_angle_alpha 90.00
_cell_angle_beta 90.00
_cell_angle_gamma 120.00
_space_group_name_H-M_alt 'R -3 m'
_space_group_IT_number 166
_space_group_name_Hall '-R 3 2"'
loop_
_atom_site_label
_atom_site_fract_x
_atom_site_fract_y
_atom_site_fract_z
_atom_site_occupancy
Pa1 0.0000 0.0000 0.2450 1
P1 0.0000 0.0000 0.0000 1
F1 0.0000 0.0000 0.5000 1
```

Raw total energy ... -8.03 eV/atom
Crystal system ... trigonal

# 3
Density functional theory data (PBE) for a geometry-optimized PPb2F structure.

```
data_PPb2F
_chemical_formula_sum 'P3 Pb6 F3'
_cell_length_a 4.3575
_cell_length_b 4.3575
_cell_length_c 23.2350
_cell_angle_alpha 90.00
_cell_angle_beta 90.00
_cell_angle_gamma 120.00
_space_group_name_H-M_alt 'R -3 m'
_space_group_IT_number 166
_space_group_name_Hall '-R 3 2"'
loop_
_atom_site_label
_atom_site_fract_x
_atom_site_fract_y
_atom_site_fract_z
_atom_site_occupancy
P1 0.0000 0.0000 0.0000 1
Pb1 0.0000 0.0000 0.3980 1
F1 0.0000 0.0000 0.5000 1
```

Raw total energy ... -4.35 eV/atom
Excess energy over the best structure of this formula in the dataset ... 0.040 eV/atom
Crystal system ... trigonal

# 4
Density functional theory data (PBE) for a geometry-optimized PPb2F structure.

```
data_PPb2F
_chemical_formula_sum 'P4 Pb8 F4'
_cell_length_a 6.023
_cell_length_b 6.023
_cell_length_c 13.153
_cell_angle_alpha 90.00
_cell_angle_beta 90.00
_cell_angle_gamma 90.00
_space_group_name_H-M_alt 'I -4 2 d'
_space_group_IT_number 122
_space_group_name_Hall 'I -4 2bw'
loop_
_atom_site_label
_atom_site_fract_x
_atom_site_fract_y
_atom_site_fract_z
_atom_site_occupancy
P1 0.000 0.000 0.000 1
Pb1 0.216 0.250 0.625 1
F1 0.000 0.000 0.500 1
```

Raw total energy ... -4.33 eV/atom
Excess energy over the best structure of this formula in the dataset ... 0.061 eV/atom
Crystal system ... tetragonal

# 5
Density functional theory data (PBE) for a geometry-optimized PPbF structure.

```
data_PPbF
_chemical_formula_sum 'P6 Pb6 F6'
_cell_length_a 4.1813
_cell_length_b 4.1813
_cell_length_c 23.8332
_cell_angle_alpha 90.00
_cell_angle_beta 90.00
_cell_angle_gamma 120.00
_space_group_name_H-M_alt 'R -3 m'
_space_group_IT_number 166
_space_group_name_Hall '-R 3 2"'
loop_
_atom_site_label
_atom_site_fract_x
_atom_site_fract_y
_atom_site_fract_z
_atom_site_occupancy
P1 0.0000 0.0000 0.1569 1
Pb1 0.0000 0.0000 0.4085 1
F1 0.0000 0.0000 0.2982 1
```

Raw total energy ... -4.63 eV/atom
Crystal system ... trigonal

# 6
Density functional theory data (PBE) for a geometry-optimized PPb2F structure.

```
data_PPb2F
_chemical_formula_sum 'P4 Pb8 F4'
_cell_length_a 7.026
_cell_length_b 7.026
_cell_length_c 7.026
_cell_angle_alpha 90.00
_cell_angle_beta 90.00
_cell_angle_gamma 90.00
_space_group_name_H-M_alt 'F m -3 m'
_space_group_IT_number 225
_space_group_name_Hall '-F 4 2 3'
loop_
_atom_site_label
_atom_site_fract_x
_atom_site_fract_y
_atom_site_fract_z
_atom_site_occupancy
P1 0.000 0.000 0.000 1
Pb1 0.250 0.250 0.250 1
F1 0.000 0.000 0.500 1
```

Raw total energy ... -4.34 eV/atom
Excess energy over the best structure of this formula in the dataset ... 0.051 eV/atom
Crystal system ... cubic

# 7
Density functional theory data (PBE) for a geometry-optimized PPbF6 structure.

```
data_PPbF6
_chemical_formula_sum 'P1 Pb1 F6'
_cell_length_a 4.314
_cell_length_b 5.717
_cell_length_c 5.751
_cell_angle_alpha 86.62
_cell_angle_beta 86.99
_cell_angle_gamma 67.88
_space_group_name_H-M_alt 'P -1'
_space_group_IT_number 2
_space_group_name_Hall '-P 1'
loop_
_atom_site_label
_atom_site_fract_x
_atom_site_fract_y
_atom_site_fract_z
_atom_site_occupancy
P1 0.000 0.000 0.000 1
Pb1 0.500 0.500 0.500 1
F1 0.101 0.242 0.947 1
F2 0.241 0.917 0.229 1
F3 0.317 0.828 0.831 1
```

Raw total energy ... -4.82 eV/atom
Crystal system ... triclinic

# 8
Density functional theory data (PBE) for a geometry-optimized PPbF2 structure.

```
data_PPbF2
_chemical_formula_sum 'P3 Pb3 F6'
_cell_length_a 4.2422
_cell_length_b 4.2422
_cell_length_c 12.5796
_cell_angle_alpha 90.00
_cell_angle_beta 90.00
_cell_angle_gamma 120.00
_space_group_name_H-M_alt 'R -3 m'
_space_group_IT_number 166
_space_group_name_Hall '-R 3 2"'
loop_
_atom_site_label
_atom_site_fract_x
_atom_site_fract_y
_atom_site_fract_z
_atom_site_occupancy
P1 0.0000 0.0000 0.0000 1
Pb1 0.0000 0.0000 0.5000 1
F1 0.0000 0.0000 0.2804 1
```

Raw total energy ... -3.95 eV/atom
Excess energy over the best structure of this formula in the dataset ... 0.334 eV/atom
Crystal system ... trigonal

# 9
Density functional theory data (PBE) for a geometry-optimized PPb2F structure.

```
data_PPb2F
_chemical_formula_sum 'P4 Pb8 F4'
_cell_length_a 7.586
_cell_length_b 9.270
_cell_length_c 6.455
_cell_angle_alpha 90.00
_cell_angle_beta 120.37
_cell_angle_gamma 90.00
_space_group_name_H-M_alt 'C 1 2/c 1'
_space_group_IT_number 15
_space_group_name_Hall '-C 2yc'
loop_
_atom_site_label
_atom_site_fract_x
_atom_site_fract_y
_atom_site_fract_z
_atom_site_occupancy
P1 0.000 0.142 0.250 1
Pb1 0.239 0.134 0.749 1
F1 0.000 0.477 0.750 1
```

Raw total energy ... -4.39 eV/atom
Excess energy over the best structure of this formula in the dataset ... 0.000 eV/atom
Crystal system ... monoclinic

# 10
Density functional theory data (PBE) for a geometry-optimized PPbF2 structure.

```
data_PPbF2
_chemical_formula_sum 'P4 Pb4 F8'
_cell_length_a 4.092
_cell_length_b 4.092
_cell_length_c 16.093
_cell_angle_alpha 90.00
_cell_angle_beta 90.00
_cell_angle_gamma 90.00
_space_group_name_H-M_alt 'I -4 2 d'
_space_group_IT_number 122
_space_group_name_Hall 'I -4 2bw'
loop_
_atom_site_label
_atom_site_fract_x
_atom_site_fract_y
_atom_site_fract_z
_atom_site_occupancy
P1 0.000 0.000 0.000 1
Pb1 0.000 0.000 0.500 1
F1 0.215 0.250 0.125 1
```

Raw total energy ... -4.18 eV/atom
Excess energy over the best structure of this formula in the dataset ... 0.105 eV/atom
Crystal system ... tetragonal

# 11
Density functional theory data (PBE) for a geometry-optimized PPbF3 structure.

```
data_PPbF3
_chemical_formula_sum 'P1 Pb1 F3'
_cell_length_a 4.679
_cell_length_b 4.679
_cell_length_c 4.679
_cell_angle_alpha 90.00
_cell_angle_beta 90.00
_cell_angle_gamma 90.00
_space_group_name_H-M_alt 'P m -3 m'
_space_group_IT_number 221
_space_group_name_Hall '-P 4 2 3'
loop_
_atom_site_label
_atom_site_fract_x
_atom_site_fract_y
_atom_site_fract_z
_atom_site_occupancy
P1 0.000 0.000 0.000 1
Pb1 0.500 0.500 0.500 1
F1 0.000 0.500 0.500 1
```

Raw total energy ... -3.94 eV/atom
Excess energy over the best structure of this formula in the dataset ... 0.026 eV/atom
Crystal system ... cubic

# 12
Density functional theory data (PBE) for a geometry-optimized PPbF3 structure.

```
data_PPbF3
_chemical_formula_sum 'P1 Pb1 F3'
_cell_length_a 4.380
_cell_length_b 4.380
_cell_length_c 4.380
_cell_angle_alpha 90.00
_cell_angle_beta 90.00
_cell_angle_gamma 90.00
_space_group_name_H-M_alt 'P m -3 m'
_space_group_IT_number 221
_space_group_name_Hall '-P 4 2 3'
loop_
_atom_site_label
_atom_site_fract_x
_atom_site_fract_y
_atom_site_fract_z
_atom_site_occupancy
P1 0.000 0.000 0.000 1
Pb1 0.500 0.500 0.500 1
F1 0.000 0.000 0.500 1
```

Raw total energy ... -3.96 eV/atom
Excess energy over the best structure of this formula in the dataset ... 0.000 eV/atom
Crystal system ... cubic

Which of these has the lowest raw total energy? Pa2PF

Which formula does entry 9 have? PPb2F

What is the raw total energy in the sixth record? -4.34 eV/atom

The lowest raw total energy belongs to which entry? Pa2PF